Record 1
Below is a geometry-optimized URuS4 structure, with properties calculated at the PBE level.

Output
Space group: P2_1/c, No. 14
Distance to the lowest polymorph of the same formula, eV per atom: 0.231

Unit cell a=6.3710 b=6.1318 c=6.0509 alpha=90.00 beta=100.39 gamma=90.00
Sites, in units of the cell vectors:
U: 0.0000 0.0000 0.0000
U: 0.0000 0.5000 0.5000
Ru: 0.5000 0.0000 0.5000
Ru: 0.5000 0.5000 0.0000
S: 0.1910 0.1759 0.3776
S: 0.1910 0.3241 0.8776
S: 0.3184 0.6998 0.2664
S: 0.3184 0.8002 0.7664
S: 0.6816 0.1998 0.2336
S: 0.6816 0.3002 0.7336
S: 0.8090 0.6759 0.1224
S: 0.8090 0.8241 0.6224

Record 2
Below is a geometry-optimized TbTmMgZr structure, with properties calculated at the PBE level.

Output
Formation enthalpy at 0 K, meV/atom: 131
Space group: F-43m, No. 216

Unit cell a=5.3303 b=5.3303 c=5.3303 alpha=60.00 beta=60.00 gamma=60.00
Sites, in units of the cell vectors:
Tb: 0.0000 0.0000 0.0000
Tm: 0.5000 0.5000 0.5000
Mg: 0.2500 0.2500 0.2500
Zr: 0.7500 0.7500 0.7500

The following total energy values (in eV per atom) correspond, in order, to the records above: -6.878; -4.680.